No. 1
{"formula": "CePmDy2Tm", "functional": "PBE", "state": "relaxed", "lattice_angstrom": [[5.8577, 0.0000, 0.0000], [0.0000, 7.7457, 0.0000], [0.0000, 0.0000, 7.1663]], "species": ["Ce", "Ce", "Pm", "Pm", "Dy", "Dy", "Dy", "Dy", "Tm", "Tm"], "frac_coords": [[0.0000, 0.0000, 0.0000], [0.5000, 0.0000, 0.0000], [0.2500, 0.5000, 0.1628], [0.7500, 0.5000, 0.8372], [0.2500, 0.2908, 0.6788], [0.2500, 0.7092, 0.6788], [0.7500, 0.2908, 0.3212], [0.7500, 0.7092, 0.3212], [0.2500, 0.0000, 0.3883], [0.7500, 0.0000, 0.6117]], "e_tot_ha_per_atom": -0.16851, "spacegroup": "Pmma (51)", "vol_a3_per_cell": 325}

***

No. 2
{"formula": "LiRhI2O", "functional": "PBE", "state": "relaxed", "lattice_angstrom": [[5.2547, 0.0000, 0.0000], [0.0000, 5.2547, 0.0000], [0.0000, 0.0000, 3.4067]], "species": ["Li", "Rh", "I", "I", "O"], "frac_coords": [[0.0000, 0.0000, 0.0000], [0.5000, 0.5000, 0.5000], [0.0000, 0.5000, 0.0000], [0.5000, 0.0000, 0.0000], [0.0000, 0.0000, 0.5000]], "spacegroup": "P4/mmm (123)", "relative_energy_mev_per_atom": 732, "raw_formation_energy_mev_per_atom": 250, "vol_a3_per_cell": 94}